Below is an optimized crystal structure of W5Au3, with properties calculated at the PBE level.

size of the total moment: 0.0 Bohr magnetons per cell
E_form: 557 meV per atom
offset from the most stable computed form: 30.8 meV/atom

Structure (POSCAR):
```
W5Au3
1.0
-2.259 2.970 -7.176
-1.491 -7.737 1.826
-4.328 1.280 1.892
W Au
10 6
Cartesian
-4.167 0.041 -3.229
-3.964 0.047 0.394
-1.747 -4.168 -1.175
-1.368 -1.162 0.823
-1.515 0.889 -0.902
-2.003 -0.599 -4.176
-3.911 -3.528 -0.229
-4.114 -3.534 -3.852
-5.072 3.361 -4.382
-4.451 -5.295 2.895
-4.159 2.160 -1.481
-2.598 -1.607 -1.689
-5.480 -1.880 -1.769
-3.848 -2.167 2.157
-1.970 -4.290 1.561
-2.428 2.090 -3.803
```

***

Below is an optimized crystal structure of WAu7, with properties calculated at the PBE level.

size of the total moment: 3.3 Bohr magnetons per cell
E_form: 347 meV per atom

Structure (POSCAR):
```
WAu7
1.0
0.000 4.163 4.163
4.163 0.000 4.163
4.163 4.163 0.000
Au W
7 1
Cartesian
4.163 2.082 2.082
2.082 4.163 2.082
2.082 2.082 0.000
2.082 2.082 4.163
2.082 0.000 2.082
0.000 2.082 2.082
4.163 4.163 4.163
0.000 0.000 0.000
```

***

Below is an optimized crystal structure of W5Au3, with properties calculated at the PBE level.

size of the total moment: 0.0 Bohr magnetons per cell
E_form: 526 meV per atom
offset from the most stable computed form: 0.0 meV/atom

Structure (POSCAR):
```
W5Au3
1.0
5.046 0.000 0.002
2.523 7.304 0.001
2.524 0.000 7.305
W Au
10 6
Cartesian
5.046 5.025 6.085
5.046 2.279 6.085
2.525 1.224 2.283
5.048 2.279 1.230
2.525 1.225 5.029
5.048 5.025 1.230
3.786 3.652 3.655
6.309 3.652 3.660
7.571 6.080 2.284
7.571 6.079 5.031
3.785 7.304 0.004
2.524 3.652 1.124
3.786 0.001 0.004
5.048 6.184 3.657
7.570 3.652 6.190
5.048 1.120 3.657
```

***

Below is an optimized crystal structure of W3Au, with properties calculated at the PBE level.

size of the total moment: 0.0 Bohr magnetons per cell
E_form: 338 meV per atom
offset from the most stable computed form: 94.6 meV/atom

Structure (POSCAR):
```
W3Au
1.0
-1.088 -6.359 5.481
-2.124 -1.370 8.079
-1.147 3.685 -7.534
W Au
6 2
Cartesian
-0.394 -0.948 1.664
-1.636 1.158 0.272
-2.819 -6.781 11.896
-1.118 -1.337 -1.027
-2.439 -0.774 3.663
-1.921 -3.269 2.363
-1.204 -2.896 5.082
-2.009 -4.832 8.478
```

***

Below is an optimized crystal structure of WAu4, with properties calculated at the PBE level.

size of the total moment: 2.4 Bohr magnetons per cell
E_form: 812 meV per atom

Structure (POSCAR):
```
WAu4
1.0
-1.859 1.859 7.123
1.859 -1.859 7.123
1.859 1.859 -7.123
Au W
4 1
Cartesian
1.859 0.000 3.562
0.000 1.859 3.562
0.000 0.000 8.462
0.000 0.000 5.784
0.000 0.000 0.000
```

***

Below is an optimized crystal structure of W3Au, with properties calculated at the PBE level.

size of the total moment: 0.0 Bohr magnetons per cell
E_form: 347 meV per atom
offset from the most stable computed form: 104.0 meV/atom

Structure (POSCAR):
```
W3Au
1.0
7.354 0.000 0.008
0.000 4.327 0.000
-9.124 0.000 2.074
Au W
1 3
Cartesian
0.000 0.000 0.000
-7.124 2.163 2.010
3.677 0.000 0.004
5.354 2.163 0.073
```

***

Below is an optimized crystal structure of W3Au, with properties calculated at the PBE level.

size of the total moment: 0.0 Bohr magnetons per cell
E_form: 300 meV per atom
offset from the most stable computed form: 56.9 meV/atom

Structure (POSCAR):
```
W3Au
1.0
4.020 0.000 0.000
0.000 4.020 0.000
0.000 0.000 4.020
W Au
3 1
Cartesian
2.010 0.000 2.010
2.010 2.010 0.000
0.000 2.010 2.010
0.000 0.000 0.000
```

***

Below is an optimized crystal structure of WAu4, with properties calculated at the PBE level.

size of the total moment: 0.0 Bohr magnetons per cell
E_form: 1366 meV per atom

Structure (POSCAR):
```
WAu4
1.0
5.045 0.000 0.000
0.000 5.045 0.000
0.000 0.000 5.045
Au W
4 1
Cartesian
2.523 2.523 0.000
2.523 0.000 2.523
0.000 2.523 2.523
0.000 0.000 0.000
2.523 2.523 2.523
```